# RbZrSi2Sb

A relaxed RbZrSi2Sb crystal (PBE, the Alexandria database).

Values from the calculation:
Density of states at the Fermi level   2.641 states/eV/cell
V   32.81 Å³/atom
Uncorrected formation energy   466 kJ/mol of formula units

abc: 5.5066 5.4109 5.5066
angles: 90.00 90.00 90.00
Fractional coordinates of all 5 atoms:
Rb: 0.5000 0.5000 0.5000
Si: 0.5000 0.0000 0.0000
Si: 0.0000 0.0000 0.5000
Sb: 0.0000 0.0000 0.0000
Zr: 0.0000 0.5000 0.0000

---

# LiLa2Cr

A relaxed LiLa2Cr crystal (PBE, the Alexandria database).

Values from the calculation:
Density of states at the Fermi level   3.305 states/eV/cell
V   27.22 Å³/atom
Formation energy   25 kJ/mol of atoms

abc: 5.3457 5.3457 3.8099
angles: 90.01 90.01 90.02
Last column: magnetic moment on the atom in μB.
Fractional coordinates of all 4 atoms:
Cr: 0.0000 0.5000 0.5000  3.45
Li: 0.5000 0.0000 0.5000  -0.04
La: 0.5000 0.5000 0.0000  -0.11
La: 0.0000 0.0000 0.0000  -0.11

---

# Sm2LuPu

A relaxed Sm2LuPu crystal (PBE, the Alexandria database).

Values from the calculation:
Density of states at the Fermi level   11.037 states/eV/cell
V   31.17 Å³/atom
Formation energy   11 kJ/mol of atoms
Excess energy over the best structure of this formula in the dataset   8 meV per atom

abc: 3.5415 3.5415 11.6592
angles: 81.26 81.26 60.00
Last column: magnetic moment on the atom in μB.
Fractional coordinates of all 4 atoms:
Sm: 0.2502 0.2502 0.2493  0.01
Sm: 0.7498 0.7498 0.7507  0.01
Pu: 0.0000 0.0000 0.0000  5.60
Lu: 0.5000 0.5000 0.5000  -0.09

---

# Th2SnHg

A relaxed Th2SnHg crystal (PBE, the Alexandria database).

Values from the calculation:
Density of states at the Fermi level   2.825 states/eV/cell
V   28.22 Å³/atom
Formation energy   -37 kJ/mol of atoms

abc: 4.4756 5.0222 5.0222
angles: 90.00 90.00 90.00
Fractional coordinates of all 4 atoms:
Th: 0.0000 0.0000 0.5000
Th: 0.0000 0.5000 0.0000
Hg: 0.5000 0.5000 0.5000
Sn: 0.5000 0.0000 0.0000

---

# AlRuSeN2

A relaxed AlRuSeN2 crystal (PBE, the Alexandria database).

Values from the calculation:
Density of states at the Fermi level   4.359 states/eV/cell
V   14.43 Å³/atom
Uncorrected formation energy   496 kJ/mol of formula units
Excess energy over the best structure of this formula in the dataset   402 meV per atom

abc: 3.6841 3.6841 5.3141
angles: 90.00 90.00 90.00
Last column: magnetic moment on the atom in μB.
Fractional coordinates of all 5 atoms:
Al: 0.0000 0.0000 0.0000  -0.01
N: 0.5000 0.0000 0.0000  0.30
N: 0.0000 0.5000 0.0000  0.30
Se: 0.0000 0.0000 0.5000  0.15
Ru: 0.5000 0.5000 0.5000  1.68

---

# Hf3GaTc

A relaxed Hf3GaTc crystal (PBE, the Alexandria database).

Values from the calculation:
Density of states at the Fermi level   10.618 states/eV/cell
V   24.50 Å³/atom
Formation energy   49 kJ/mol of atoms
Excess energy over the best structure of this formula in the dataset   0 meV per atom

abc: 4.9665 4.9665 4.9665
angles: 90.00 90.00 90.00
Fractional coordinates of all 5 atoms:
Hf: 0.5000 0.0000 0.0000
Hf: 0.0000 0.5000 0.0000
Hf: 0.0000 0.0000 0.5000
Ga: 0.5000 0.5000 0.5000
Tc: 0.0000 0.0000 0.0000

---

# Ac4CoS2Br

A relaxed Ac4CoS2Br crystal (PBE, the Alexandria database).

Values from the calculation:
Density of states at the Fermi level   6.081 states/eV/cell
V   29.82 Å³/atom
Uncorrected formation energy   -958 kJ/mol of formula units

abc: 4.1951 7.6552 7.8212
angles: 71.76 90.00 90.00
Fractional coordinates of all 8 atoms:
Ac: 0.0000 0.2326 0.2706
Ac: 0.0000 0.7674 0.7294
Ac: 0.5000 0.2694 0.7185
Ac: 0.5000 0.7306 0.2815
S: 0.5000 0.0000 0.5000
S: 0.0000 0.0000 0.0000
Co: 0.0000 0.5000 0.5000
Br: 0.5000 0.5000 0.0000

---

# LiZnPt2

A relaxed LiZnPt2 crystal (PBE, the Alexandria database).

Values from the calculation:
Density of states at the Fermi level   3.596 states/eV/cell
V   15.75 Å³/atom
Formation energy   -19 kJ/mol of atoms

abc: 6.8501 6.8501 5.5386
angles: 51.80 51.80 90.00
Fractional coordinates of all 8 atoms:
Zn: 0.0000 0.0000 0.0000
Zn: 0.7500 0.2500 0.5000
Pt: 0.1198 0.6250 0.2500
Pt: 0.6302 0.1250 0.2500
Pt: 0.8750 0.8802 0.7500
Pt: 0.3750 0.3698 0.7500
Li: 0.2500 0.7500 0.5000
Li: 0.5000 0.5000 0.0000

---

The lowest V belongs to which entry? AlRuSeN2

---

Copy entry 2 word for word.
# LiLa2Cr

A relaxed LiLa2Cr crystal (PBE, the Alexandria database).

Values from the calculation:
Density of states at the Fermi level   3.305 states/eV/cell
V   27.22 Å³/atom
Formation energy   25 kJ/mol of atoms

abc: 5.3457 5.3457 3.8099
angles: 90.01 90.01 90.02
Last column: magnetic moment on the atom in μB.
Fractional coordinates of all 4 atoms:
Cr: 0.0000 0.5000 0.5000  3.45
Li: 0.5000 0.0000 0.5000  -0.04
La: 0.5000 0.5000 0.0000  -0.11
La: 0.0000 0.0000 0.0000  -0.11